Record 1
Hg3GeOs | PBEsol | relaxed

Cell lengths 5.1283, 5.1283, 5.1283 Å; angles 90.00, 90.00, 90.00 degrees
Closest atoms and distances in Å follow each position.
Space group Pm-3m (No. 221)
Symmetry-distinct sites (fractional):
Hg 0.0000 0.0000 0.5000 x3  2 Os 2.56
Ge 0.5000 0.5000 0.5000 x1  12 Hg 3.63
Os 0.0000 0.0000 0.0000 x1  6 Hg 2.56

Results
V	26.97	Å³ per atom
energy relative to the elements	1.087	eV/atom
energy	-0.09863	hartree per atom

=====

Record 2
TlIn5 | PBEsol | relaxed

Cell lengths 12.6969, 3.3557, 7.5641 Å; angles 90.00, 105.00, 90.00 degrees
Closest atoms and distances in Å follow each position.
Space group Cm (No. 8)
Symmetry-distinct sites (fractional):
Tl 0.0000 0.0000 0.0000 x2  10 In 3.29-3.50, 2 Tl 3.36
In 0.1232 0.5000 0.7345 x2  9 In 3.19-3.36, 2 Tl 3.30
In 0.1682 0.5000 0.3393 x2  10 In 3.19-3.51, 2 Tl 3.34
In 0.2834 0.0000 0.0736 x2  9 In 3.24-3.36, 3 Tl 3.39-3.50
In 0.3341 0.0000 0.6655 x2  10 In 3.23-3.57, 2 Tl 3.30
In 0.4524 0.5000 0.4068 x2  11 In 3.23-3.51, 1 Tl 3.29

Results
V	25.94	Å³ per atom
energy relative to the elements	0.013	eV/atom
offset from the most stable computed form	5	kJ/mol of formula units
energy	-0.10698	hartree per atom

=====

Among the records above, which one has the lowest energy? TlIn5